No. 1
The following is a PBE calculation of PrMgHg3 after structural relaxation, from Alexandria.

extended XYZ file:
```
10
Lattice="-2.118 -4.716 0.814 2.963 -0.984 2.013 -6.025 8.235 9.464" Properties=species:S:1:pos:R:3 pbc="T T T"
Hg -1.609 2.702 3.689
Hg -3.571 -0.166 8.602
Hg -3.297 2.632 6.139
Hg -0.911 -0.882 0.910
Hg -1.883 -0.097 6.153
Hg -4.269 3.417 11.381
Pr -0.956 -3.363 3.192
Pr -4.224 5.899 9.099
Mg -2.181 0.033 3.226
Mg -2.999 2.503 9.065
```

Size of the total moment, μB/f.u.: 0.00
Symmetry: No. 12
ρ, g/cm³: 9.82
Calculated formation energy, eV/atom: -0.262



No. 2
The following is a PBE calculation of PrPuMg2Hg4 after structural relaxation, from Alexandria.

extended XYZ file:
```
8
Lattice="5.171 0.000 0.000 2.585 4.478 0.000 2.585 1.493 8.467" Properties=species:S:1:pos:R:3 pbc="T T T"
Mg 7.756 4.478 6.330
Mg 2.585 1.493 2.137
Hg 5.171 2.985 1.107
Hg 5.171 2.985 7.361
Hg 7.756 4.478 3.212
Hg 2.585 1.493 5.255
Pr 0.000 0.000 0.000
Pu 5.171 2.985 4.234
```

Size of the total moment, μB/f.u.: 5.62
Symmetry: No. 166
ρ, g/cm³: 10.47
Calculated formation energy, eV/atom: -0.345



No. 3
The following is a PBE calculation of PrMgHgRh after structural relaxation, from Alexandria.

extended XYZ file:
```
4
Lattice="-4.993 0.171 -0.346 -2.389 -2.977 -3.241 -2.759 -3.826 1.679" Properties=species:S:1:pos:R:3 pbc="T T T"
Rh -7.605 -4.974 -1.431
Pr -5.070 -3.316 -0.954
Hg -2.535 -1.658 -0.477
Mg 0.000 0.000 0.000
```

Size of the total moment, μB/f.u.: 0.00
Symmetry: No. 216
ρ, g/cm³: 8.77
Calculated formation energy, eV/atom: -0.382



No. 4
The following is a PBE calculation of PrMgHgSb after structural relaxation, from Alexandria.

extended XYZ file:
```
4
Lattice="5.334 0.000 0.000 2.667 4.620 0.000 2.667 1.540 4.355" Properties=species:S:1:pos:R:3 pbc="T T T"
Sb 0.000 0.000 0.000
Pr 2.667 1.540 1.089
Mg 8.001 4.620 3.267
Hg 5.334 3.080 2.178
```

Size of the total moment, μB/f.u.: 0.00
Symmetry: No. 216
ρ, g/cm³: 7.54
Energy relative to the elements, uncorrected, meV per atom: -438